# Cu3Ag2

A relaxed structure of Cu3Ag2 (PBE-GGA, OQMD). Values from VASP.

Formation enthalpy at 0 K, eV/atom: 0.093
Uncorrected energy, eV/atom: -3.27
Energy above the lowest structure with this stoichiometry, meV per atom: 51

Geometry as Quantum ESPRESSO input:
```
&SYSTEM
  ibrav = 0, nat = 10, ntyp = 2
/
ATOMIC_SPECIES
Ag 107.87 Ag.upf
Cu 63.55 Cu.upf
ATOMIC_POSITIONS crystal
Ag 0.793 0.793 0.619
Ag 0.199 0.199 0.406
Ag 0.601 0.601 0.194
Ag 0.308 0.308 0.081
Cu 0.699 0.699 0.883
Cu 0.403 0.403 0.811
Cu 0.904 0.904 0.308
Cu 0.085 0.085 0.708
Cu 0.014 0.014 0.982
Cu 0.495 0.495 0.509
CELL_PARAMETERS angstrom
-3.368 -2.549 -2.107
-1.212 -4.227 -1.717
-3.105 -1.407 11.118
```



# Cu3Ag2

A relaxed structure of Cu3Ag2 (PBE-GGA, OQMD). Values from VASP.

Formation enthalpy at 0 K, eV/atom: 0.105
Uncorrected energy, eV/atom: -3.25
Energy above the lowest structure with this stoichiometry, meV per atom: 63

Geometry as Quantum ESPRESSO input:
```
&SYSTEM
  ibrav = 0, nat = 10, ntyp = 2
/
ATOMIC_SPECIES
Ag 107.87 Ag.upf
Cu 63.55 Cu.upf
ATOMIC_POSITIONS crystal
Ag 0.406 0.594 0.000
Ag 0.303 0.697 0.500
Ag 0.092 0.908 0.500
Ag 0.700 0.300 0.500
Cu 0.501 0.499 0.500
Cu 0.801 0.199 0.000
Cu 0.603 0.397 0.000
Cu 0.196 0.804 0.000
Cu 0.901 0.099 0.500
Cu 0.999 0.001 0.000
CELL_PARAMETERS angstrom
2.376 -6.789 0.000
2.376 6.789 0.000
-1.634 0.000 4.442
```



# Cu3Ag2

A relaxed structure of Cu3Ag2 (PBE-GGA, OQMD). Values from VASP.

Formation enthalpy at 0 K, eV/atom: 0.078
Uncorrected energy, eV/atom: -3.28
Energy above the lowest structure with this stoichiometry, meV per atom: 36

Geometry as Quantum ESPRESSO input:
```
&SYSTEM
  ibrav = 0, nat = 10, ntyp = 2
/
ATOMIC_SPECIES
Cu 63.55 Cu.upf
Ag 107.87 Ag.upf
ATOMIC_POSITIONS crystal
Cu 0.500 0.500 0.000
Cu 0.500 0.500 0.500
Cu 0.688 0.688 0.549
Cu 0.312 0.312 0.451
Cu 0.082 0.082 0.295
Cu 0.918 0.918 0.705
Ag 0.703 0.703 0.144
Ag 0.297 0.297 0.856
Ag 0.896 0.896 0.203
Ag 0.104 0.104 0.797
CELL_PARAMETERS angstrom
7.512 -1.401 0.000
7.512 1.401 0.000
-1.572 0.000 6.770
```



# Cu2Ag7

A relaxed structure of Cu2Ag7 (PBE-GGA, OQMD). Values from VASP.

Formation enthalpy at 0 K, eV/atom: 0.063
Uncorrected energy, eV/atom: -2.96
Energy above the lowest structure with this stoichiometry, meV per atom: 37

Geometry as Quantum ESPRESSO input:
```
&SYSTEM
  ibrav = 0, nat = 9, ntyp = 2
/
ATOMIC_SPECIES
Ag 107.87 Ag.upf
Cu 63.55 Cu.upf
ATOMIC_POSITIONS crystal
Ag 0.009 0.009 0.332
Ag 0.329 0.329 0.113
Ag 0.671 0.671 0.887
Ag 0.991 0.991 0.668
Ag 0.328 0.328 0.435
Ag 0.672 0.672 0.565
Ag 0.000 0.000 0.000
Cu 0.666 0.666 0.219
Cu 0.334 0.334 0.781
CELL_PARAMETERS angstrom
6.155 -1.430 0.000
6.155 1.430 0.000
-2.040 0.000 8.469
```



# Cu4Ag5

A relaxed structure of Cu4Ag5 (PBE-GGA, OQMD). Values from VASP.

Formation enthalpy at 0 K, eV/atom: 0.091
Uncorrected energy, eV/atom: -3.13
Energy above the lowest structure with this stoichiometry, meV per atom: 53

Geometry as Quantum ESPRESSO input:
```
&SYSTEM
  ibrav = 0, nat = 9, ntyp = 2
/
ATOMIC_SPECIES
Ag 107.87 Ag.upf
Cu 63.55 Cu.upf
ATOMIC_POSITIONS crystal
Ag 0.551 0.551 0.309
Ag 0.333 0.333 0.002
Ag 0.656 0.656 0.004
Ag 0.237 0.237 0.358
Ag 0.110 0.110 0.659
Cu 0.442 0.442 0.669
Cu 0.896 0.896 0.350
Cu 0.987 0.987 0.970
Cu 0.788 0.788 0.678
CELL_PARAMETERS angstrom
-0.564 6.838 2.202
-3.101 6.430 0.985
-1.441 -6.048 5.039
```



# Cu3Ag2

A relaxed structure of Cu3Ag2 (PBE-GGA, OQMD). Values from VASP.

Formation enthalpy at 0 K, eV/atom: 0.084
Uncorrected energy, eV/atom: -3.28
Energy above the lowest structure with this stoichiometry, meV per atom: 42

Geometry as Quantum ESPRESSO input:
```
&SYSTEM
  ibrav = 0, nat = 10, ntyp = 2
/
ATOMIC_SPECIES
Cu 63.55 Cu.upf
Ag 107.87 Ag.upf
ATOMIC_POSITIONS crystal
Cu 0.504 0.504 0.219
Cu 0.303 0.303 0.133
Cu 0.697 0.697 0.867
Cu 0.096 0.096 0.032
Cu 0.496 0.496 0.781
Cu 0.904 0.904 0.968
Ag 0.092 0.092 0.559
Ag 0.908 0.908 0.441
Ag 0.301 0.301 0.671
Ag 0.699 0.699 0.329
CELL_PARAMETERS angstrom
-6.098 -0.625 -6.527
-5.419 -3.349 -6.293
-3.510 -0.479 4.622
```



# CuAg

A relaxed structure of CuAg (PBE-GGA, OQMD). Values from VASP.

Formation enthalpy at 0 K, eV/atom: 0.109
Uncorrected energy, eV/atom: -3.16

Geometry as Quantum ESPRESSO input:
```
&SYSTEM
  ibrav = 0, nat = 6, ntyp = 2
/
ATOMIC_SPECIES
Cu 63.55 Cu.upf
Ag 107.87 Ag.upf
ATOMIC_POSITIONS crystal
Cu 0.667 0.333 0.987
Cu 0.667 0.333 0.506
Cu 0.000 0.000 0.841
Ag 0.000 0.000 0.340
Ag 0.333 0.667 0.154
Ag 0.333 0.667 0.673
CELL_PARAMETERS angstrom
-1.811 1.692 1.258
-0.589 -2.701 -0.285
5.805 -2.504 11.722
```



# Cu3Ag7

A relaxed structure of Cu3Ag7 (PBE-GGA, OQMD). Values from VASP.

Formation enthalpy at 0 K, eV/atom: 0.071
Uncorrected energy, eV/atom: -3.02
Energy above the lowest structure with this stoichiometry, meV per atom: 43

Geometry as Quantum ESPRESSO input:
```
&SYSTEM
  ibrav = 0, nat = 10, ntyp = 2
/
ATOMIC_SPECIES
Ag 107.87 Ag.upf
Cu 63.55 Cu.upf
ATOMIC_POSITIONS crystal
Ag 0.798 0.798 0.894
Ag 0.901 0.901 0.218
Ag 0.393 0.393 0.682
Ag 0.607 0.607 0.318
Ag 0.099 0.099 0.782
Ag 0.500 0.500 0.000
Ag 0.202 0.202 0.106
Cu 0.302 0.302 0.409
Cu 0.000 0.000 0.500
Cu 0.698 0.698 0.591
CELL_PARAMETERS angstrom
6.104 -1.440 0.000
6.104 1.440 0.000
-1.718 0.000 9.278
```



# Cu5Ag3

A relaxed structure of Cu5Ag3 (PBE-GGA, OQMD). Values from VASP.

Formation enthalpy at 0 K, eV/atom: 0.098
Uncorrected energy, eV/atom: -3.28
Energy above the lowest structure with this stoichiometry, meV per atom: 51

Geometry as Quantum ESPRESSO input:
```
&SYSTEM
  ibrav = 0, nat = 8, ntyp = 2
/
ATOMIC_SPECIES
Cu 63.55 Cu.upf
Ag 107.87 Ag.upf
ATOMIC_POSITIONS crystal
Cu 0.500 0.500 0.000
Cu 0.880 0.380 0.500
Cu 0.620 0.120 0.500
Cu 0.120 0.620 0.500
Cu 0.380 0.880 0.500
Ag 0.750 0.750 0.000
Ag 0.250 0.250 0.000
Ag 0.000 0.000 0.000
CELL_PARAMETERS angstrom
-1.942 1.942 7.501
1.942 -1.942 7.501
1.942 1.942 -7.501
```



# Cu4Ag5

A relaxed structure of Cu4Ag5 (PBE-GGA, OQMD). Values from VASP.

Formation enthalpy at 0 K, eV/atom: 0.084
Uncorrected energy, eV/atom: -3.14
Energy above the lowest structure with this stoichiometry, meV per atom: 46

Geometry as Quantum ESPRESSO input:
```
&SYSTEM
  ibrav = 0, nat = 9, ntyp = 2
/
ATOMIC_SPECIES
Cu 63.55 Cu.upf
Ag 107.87 Ag.upf
ATOMIC_POSITIONS crystal
Cu 0.779 0.779 0.155
Cu 0.679 0.679 0.533
Cu 0.221 0.221 0.845
Cu 0.321 0.321 0.467
Ag 0.876 0.876 0.802
Ag 0.438 0.438 0.156
Ag 0.124 0.124 0.198
Ag 0.562 0.562 0.844
Ag 0.000 0.000 0.500
CELL_PARAMETERS angstrom
7.138 -1.419 0.000
7.138 1.419 0.000
-0.377 0.000 6.795
```



# Cu4Ag5

A relaxed structure of Cu4Ag5 (PBE-GGA, OQMD). Values from VASP.

Formation enthalpy at 0 K, eV/atom: 0.089
Uncorrected energy, eV/atom: -3.13
Energy above the lowest structure with this stoichiometry, meV per atom: 51

Geometry as Quantum ESPRESSO input:
```
&SYSTEM
  ibrav = 0, nat = 9, ntyp = 2
/
ATOMIC_SPECIES
Cu 63.55 Cu.upf
Ag 107.87 Ag.upf
ATOMIC_POSITIONS crystal
Cu 0.774 0.774 0.000
Cu 0.118 0.118 0.000
Cu 0.226 0.226 0.000
Cu 0.882 0.882 0.000
Ag 0.000 0.000 0.000
Ag 0.328 0.328 0.000
Ag 0.672 0.672 0.000
Ag 0.563 0.563 0.000
Ag 0.437 0.437 0.000
CELL_PARAMETERS angstrom
7.189 -4.619 10.177
3.677 -7.692 10.193
-3.828 5.226 -11.603
```



# Cu4Ag5

A relaxed structure of Cu4Ag5 (PBE-GGA, OQMD). Values from VASP.

Formation enthalpy at 0 K, eV/atom: 0.075
Uncorrected energy, eV/atom: -3.15
Energy above the lowest structure with this stoichiometry, meV per atom: 37

Geometry as Quantum ESPRESSO input:
```
&SYSTEM
  ibrav = 0, nat = 9, ntyp = 2
/
ATOMIC_SPECIES
Ag 107.87 Ag.upf
Cu 63.55 Cu.upf
ATOMIC_POSITIONS crystal
Ag 0.344 0.344 0.628
Ag 0.683 0.683 0.749
Ag 0.656 0.656 0.372
Ag 0.317 0.317 0.251
Ag 0.000 0.000 0.500
Cu 0.017 0.017 0.857
Cu 0.983 0.983 0.143
Cu 0.652 0.652 0.048
Cu 0.348 0.348 0.952
CELL_PARAMETERS angstrom
-2.383 2.714 -3.281
-0.786 -0.541 -4.785
-5.537 -4.678 4.242
```



# Cu4Ag5

A relaxed structure of Cu4Ag5 (PBE-GGA, OQMD). Values from VASP.

Formation enthalpy at 0 K, eV/atom: 0.098
Uncorrected energy, eV/atom: -3.12
Energy above the lowest structure with this stoichiometry, meV per atom: 60

Geometry as Quantum ESPRESSO input:
```
&SYSTEM
  ibrav = 0, nat = 9, ntyp = 2
/
ATOMIC_SPECIES
Cu 63.55 Cu.upf
Ag 107.87 Ag.upf
ATOMIC_POSITIONS crystal
Cu 0.661 0.661 0.999
Cu 0.333 0.333 0.004
Cu 0.556 0.556 0.315
Cu 0.007 0.007 0.012
Ag 0.109 0.109 0.665
Ag 0.218 0.218 0.316
Ag 0.777 0.777 0.681
Ag 0.894 0.894 0.322
Ag 0.445 0.445 0.686
CELL_PARAMETERS angstrom
7.265 -1.418 0.000
7.265 1.418 0.000
-0.111 0.000 6.709
```



# CuAg

A relaxed structure of CuAg (PBE-GGA, OQMD). Values from VASP.

Formation enthalpy at 0 K, eV/atom: 0.099
Uncorrected energy, eV/atom: -3.17

Geometry as Quantum ESPRESSO input:
```
&SYSTEM
  ibrav = 0, nat = 16, ntyp = 2
/
ATOMIC_SPECIES
Ag 107.87 Ag.upf
Cu 63.55 Cu.upf
ATOMIC_POSITIONS crystal
Ag 0.938 0.938 0.287
Ag 0.688 0.688 0.036
Ag 0.875 0.875 0.875
Ag 0.625 0.625 0.628
Ag 0.563 0.563 0.225
Ag 0.999 0.999 0.987
Ag 0.813 0.813 0.465
Ag 0.750 0.750 0.750
Cu 0.061 0.061 0.725
Cu 0.188 0.188 0.519
Cu 0.312 0.312 0.981
Cu 0.375 0.375 0.375
Cu 0.250 0.250 0.250
Cu 0.437 0.437 0.767
Cu 0.125 0.125 0.125
Cu 0.501 0.501 0.504
CELL_PARAMETERS angstrom
-9.552 7.091 -13.842
-11.558 7.502 -11.969
2.116 4.032 1.380
```



# Cu3Ag2

A relaxed structure of Cu3Ag2 (PBE-GGA, OQMD). Values from VASP.

Formation enthalpy at 0 K, eV/atom: 0.051
Uncorrected energy, eV/atom: -3.31
Energy above the lowest structure with this stoichiometry, meV per atom: 9

Geometry as Quantum ESPRESSO input:
```
&SYSTEM
  ibrav = 0, nat = 10, ntyp = 2
/
ATOMIC_SPECIES
Cu 63.55 Cu.upf
Ag 107.87 Ag.upf
ATOMIC_POSITIONS crystal
Cu 0.000 0.500 0.710
Cu 0.500 0.000 0.458
Cu 0.000 0.500 0.542
Cu 0.500 0.000 0.290
Cu 0.500 0.000 0.628
Cu 0.000 0.500 0.372
Ag 0.500 0.000 0.062
Ag 0.000 0.500 0.938
Ag 0.000 0.500 0.185
Ag 0.500 0.000 0.815
CELL_PARAMETERS angstrom
-2.493 0.534 -1.269
-1.334 -2.600 1.527
-4.016 8.896 11.635
```



# Cu4Ag5

A relaxed structure of Cu4Ag5 (PBE-GGA, OQMD). Values from VASP.

Formation enthalpy at 0 K, eV/atom: 0.072
Uncorrected energy, eV/atom: -3.15
Energy above the lowest structure with this stoichiometry, meV per atom: 34

Geometry as Quantum ESPRESSO input:
```
&SYSTEM
  ibrav = 0, nat = 9, ntyp = 2
/
ATOMIC_SPECIES
Ag 107.87 Ag.upf
Cu 63.55 Cu.upf
ATOMIC_POSITIONS crystal
Ag 0.438 0.438 0.000
Ag 0.000 0.000 0.000
Ag 0.562 0.562 0.000
Ag 0.875 0.875 0.000
Ag 0.125 0.125 0.000
Cu 0.773 0.773 0.000
Cu 0.679 0.679 0.000
Cu 0.227 0.227 0.000
Cu 0.321 0.321 0.000
CELL_PARAMETERS angstrom
-2.380 12.083 4.871
-6.565 10.093 5.514
5.683 -11.516 -3.237
```



# Cu3Ag2

A relaxed structure of Cu3Ag2 (PBE-GGA, OQMD). Values from VASP.

Formation enthalpy at 0 K, eV/atom: 0.101
Uncorrected energy, eV/atom: -3.26
Energy above the lowest structure with this stoichiometry, meV per atom: 59

Geometry as Quantum ESPRESSO input:
```
&SYSTEM
  ibrav = 0, nat = 10, ntyp = 2
/
ATOMIC_SPECIES
Ag 107.87 Ag.upf
Cu 63.55 Cu.upf
ATOMIC_POSITIONS crystal
Ag 0.301 0.500 0.896
Ag 0.889 0.500 0.695
Ag 0.699 0.500 0.104
Ag 0.111 0.500 0.305
Cu 0.200 0.000 0.101
Cu 0.800 0.000 0.899
Cu 0.500 0.500 0.500
Cu 0.393 0.000 0.687
Cu 0.000 0.000 0.500
Cu 0.607 0.000 0.313
CELL_PARAMETERS angstrom
4.664 0.000 0.000
0.000 2.759 0.000
-1.218 0.000 11.077
```



# Cu3Ag2

A relaxed structure of Cu3Ag2 (PBE-GGA, OQMD). Values from VASP.

Formation enthalpy at 0 K, eV/atom: 0.111
Uncorrected energy, eV/atom: -3.25
Energy above the lowest structure with this stoichiometry, meV per atom: 69

Geometry as Quantum ESPRESSO input:
```
&SYSTEM
  ibrav = 0, nat = 10, ntyp = 2
/
ATOMIC_SPECIES
Cu 63.55 Cu.upf
Ag 107.87 Ag.upf
ATOMIC_POSITIONS crystal
Cu 0.891 0.500 0.206
Cu 0.109 0.500 0.794
Cu 0.790 0.000 0.391
Cu 0.593 0.000 0.796
Cu 0.210 0.000 0.609
Cu 0.407 0.000 0.204
Ag 0.000 0.000 0.000
Ag 0.715 0.500 0.599
Ag 0.500 0.500 0.000
Ag 0.285 0.500 0.401
CELL_PARAMETERS angstrom
4.710 0.000 0.000
0.000 2.786 0.000
-1.196 0.000 10.957
```



# Cu3Ag7

A relaxed structure of Cu3Ag7 (PBE-GGA, OQMD). Values from VASP.

Formation enthalpy at 0 K, eV/atom: 0.045
Uncorrected energy, eV/atom: -3.05
Energy above the lowest structure with this stoichiometry, meV per atom: 16

Geometry as Quantum ESPRESSO input:
```
&SYSTEM
  ibrav = 0, nat = 10, ntyp = 2
/
ATOMIC_SPECIES
Ag 107.87 Ag.upf
Cu 63.55 Cu.upf
ATOMIC_POSITIONS crystal
Ag 0.000 0.000 0.073
Ag 0.500 0.500 0.404
Ag 0.000 0.000 0.513
Ag 0.500 0.500 0.810
Ag 0.500 0.500 0.623
Ag 0.500 0.500 0.183
Ag 0.000 0.000 0.294
Cu 0.000 0.000 0.904
Cu 0.500 0.500 0.979
Cu 0.000 0.000 0.716
CELL_PARAMETERS angstrom
-2.871 -0.341 0.019
0.149 -1.391 -2.530
2.062 -16.869 9.393
```



# CuAg2

A relaxed structure of CuAg2 (PBE-GGA, OQMD). Values from VASP.

Formation enthalpy at 0 K, eV/atom: 0.073
Uncorrected energy, eV/atom: -3.05
Energy above the lowest structure with this stoichiometry, meV per atom: 42

Geometry as Quantum ESPRESSO input:
```
&SYSTEM
  ibrav = 0, nat = 9, ntyp = 2
/
ATOMIC_SPECIES
Cu 63.55 Cu.upf
Ag 107.87 Ag.upf
ATOMIC_POSITIONS crystal
Cu 0.658 0.658 0.193
Cu 0.342 0.342 0.807
Cu 0.000 0.000 0.000
Ag 0.319 0.319 0.417
Ag 0.661 0.661 0.891
Ag 0.681 0.681 0.583
Ag 0.019 0.019 0.336
Ag 0.339 0.339 0.109
Ag 0.981 0.981 0.664
CELL_PARAMETERS angstrom
-1.751 4.473 -3.640
-3.911 2.626 -3.760
-2.653 2.579 8.079
```



# Cu5Ag3

A relaxed structure of Cu5Ag3 (PBE-GGA, OQMD). Values from VASP.

Formation enthalpy at 0 K, eV/atom: 0.070
Uncorrected energy, eV/atom: -3.31
Energy above the lowest structure with this stoichiometry, meV per atom: 23

Geometry as Quantum ESPRESSO input:
```
&SYSTEM
  ibrav = 0, nat = 8, ntyp = 2
/
ATOMIC_SPECIES
Ag 107.87 Ag.upf
Cu 63.55 Cu.upf
ATOMIC_POSITIONS crystal
Ag 0.500 0.500 0.151
Ag 0.000 0.000 0.000
Ag 0.500 0.500 0.849
Cu 0.500 0.500 0.610
Cu 0.000 0.000 0.500
Cu 0.000 0.000 0.281
Cu 0.000 0.000 0.719
Cu 0.500 0.500 0.390
CELL_PARAMETERS angstrom
-0.379 0.953 -2.550
2.592 -2.261 -1.230
-7.775 -7.928 -1.809
```



# Cu3Ag2

A relaxed structure of Cu3Ag2 (PBE-GGA, OQMD). Values from VASP.

Formation enthalpy at 0 K, eV/atom: 0.061
Uncorrected energy, eV/atom: -3.30
Energy above the lowest structure with this stoichiometry, meV per atom: 19

Geometry as Quantum ESPRESSO input:
```
&SYSTEM
  ibrav = 0, nat = 10, ntyp = 2
/
ATOMIC_SPECIES
Cu 63.55 Cu.upf
Ag 107.87 Ag.upf
ATOMIC_POSITIONS crystal
Cu 0.500 0.500 0.310
Cu 0.000 0.000 0.604
Cu 0.500 0.500 0.690
Cu 0.000 0.000 0.776
Cu 0.000 0.000 0.224
Cu 0.000 0.000 0.396
Ag 0.500 0.500 0.500
Ag 0.000 0.000 0.000
Ag 0.500 0.500 0.120
Ag 0.500 0.500 0.880
CELL_PARAMETERS angstrom
2.768 0.000 0.000
0.000 2.768 0.000
0.000 0.000 18.517
```



# Cu4Ag5

A relaxed structure of Cu4Ag5 (PBE-GGA, OQMD). Values from VASP.

Formation enthalpy at 0 K, eV/atom: 0.109
Uncorrected energy, eV/atom: -3.11
Energy above the lowest structure with this stoichiometry, meV per atom: 71

Geometry as Quantum ESPRESSO input:
```
&SYSTEM
  ibrav = 0, nat = 9, ntyp = 2
/
ATOMIC_SPECIES
Ag 107.87 Ag.upf
Cu 63.55 Cu.upf
ATOMIC_POSITIONS crystal
Ag 0.000 0.000 0.000
Ag 0.555 0.555 0.223
Ag 0.109 0.109 0.449
Ag 0.891 0.891 0.551
Ag 0.445 0.445 0.777
Cu 0.223 0.223 0.891
Cu 0.777 0.777 0.109
Cu 0.671 0.671 0.680
Cu 0.329 0.329 0.320
CELL_PARAMETERS angstrom
4.599 -1.416 0.000
4.599 1.416 0.000
-4.483 0.000 10.565
```